[1]
{"formula": "InRhPb2", "functional": "PBE", "state": "relaxed", "vol_a3_per_cell": 99, "e_tot_ry_per_atom": -0.321, "cell": [[-8.428, 3.167, 4.870], [-9.831, 2.014, 2.019], [-9.165, -0.117, 4.557]], "species": ["Pb", "Pb", "Rh", "In"], "fractional_positions": [[0.768, 0.768, 0.768], [0.996, 0.996, 0.996], [0.503, 0.503, 0.503], [0.233, 0.233, 0.233]]}

---

[2]
{"formula": "SiAsH2", "functional": "PBE", "state": "relaxed", "vol_a3_per_cell": 72, "e_above_lowest_polymorph_mev_per_atom": 0, "cell": [[3.679, 0.001, -0.001], [0.003, 3.978, 2.245], [-0.002, 0.471, 5.183]], "species": ["H", "As", "H", "Si"], "fractional_positions": [[0.287, 0.361, 0.091], [0.787, 0.036, 0.712], [0.288, 0.712, 0.415], [0.287, 0.036, 0.422]]}

---

[3]
{"formula": "BeRe2Se", "functional": "PBE", "state": "relaxed", "vol_a3_per_cell": 127, "e_above_lowest_polymorph_mev_per_atom": 511, "formation_energy_uncorrected_ev_per_atom": 0.6357, "cell": [[-3.880, 0.111, 0.395], [0.369, -0.688, 3.823], [-1.374, 7.908, 3.547]], "species": ["Re", "Re", "Se", "Be", "Se", "Be", "Re", "Re"], "fractional_positions": [[0.567, 0.125, 0.250], [0.875, 0.817, 0.750], [0.750, 0.250, 0.500], [0.250, 0.750, 0.500], [0.000, 0.000, 0.000], [0.500, 0.500, 0.000], [0.375, 0.433, 0.750], [0.183, 0.625, 0.250]]}

---

[4]
{"formula": "HfScBe2", "functional": "PBE", "state": "relaxed", "vol_a3_per_cell": 138, "e_above_lowest_polymorph_mev_per_atom": 617, "cell": [[-5.969, 2.057, -2.527], [1.536, -2.875, -5.968], [-3.481, -2.966, -3.341]], "species": ["Be", "Be", "Sc", "Hf", "Sc", "Be", "Hf", "Be"], "fractional_positions": [[0.875, 0.874, 0.750], [0.624, 0.125, 0.250], [0.250, 0.750, 0.500], [0.000, 0.000, 0.000], [0.500, 0.500, 0.000], [0.126, 0.625, 0.250], [0.750, 0.250, 0.500], [0.375, 0.376, 0.750]]}

---

[5]
{"formula": "YTe", "functional": "PBE", "state": "relaxed", "vol_a3_per_cell": 114, "formation_energy_uncorrected_ev_per_atom": -0.3776, "cell": [[5.442, 0.000, 0.000], [2.721, 4.713, 0.000], [2.721, 1.571, 4.443]], "species": ["Y", "Te", "Te", "Y"], "fractional_positions": [[0.750, 0.750, 0.750], [0.000, 0.000, 0.000], [0.250, 0.250, 0.250], [0.500, 0.500, 0.500]]}

---

[6]
{"formula": "SbAuS2", "functional": "PBE", "state": "relaxed", "vol_a3_per_cell": 407, "formation_energy_uncorrected_ev_per_atom": -0.0561, "cell": [[6.433, 0.000, 0.000], [0.000, 7.866, 0.000], [0.000, 0.000, 8.035]], "species": ["Au", "Sb", "S", "Sb", "Sb", "Au", "S", "Sb", "S", "S", "Au", "S", "S", "S", "S", "Au"], "fractional_positions": [[0.072, 0.167, 0.662], [0.467, 0.343, 0.573], [0.347, 0.098, 0.163], [0.967, 0.657, 0.427], [0.467, 0.843, 0.927], [0.572, 0.333, 0.162], [0.347, 0.598, 0.337], [0.967, 0.157, 0.073], [0.887, 0.990, 0.335], [0.887, 0.490, 0.165], [0.072, 0.667, 0.838], [0.387, 0.510, 0.835], [0.847, 0.402, 0.663], [0.387, 0.010, 0.665], [0.847, 0.902, 0.837], [0.572, 0.833, 0.338]]}